Density functional theory data (PBE-GGA) for Ba5Tl4In after structural relaxation.

The value obtained for the raw total energy is -2.584 eV/atom. For the size of the total moment, the calculation gives 0.000 μB per atom. As for the formation energy: -0.40 eV per atom.

The space group is P4/mmm (No. 123) and the conventional cell measures 4.2916, 4.2916 and 21.5693 Å, with angles of 90.00, 90.00 and 90.00 degrees. Symmetry generates all atoms from Ba at (0.0000, 0.0000, 0.0000), Ba at (0.0000, 0.0000, 0.2005), Ba at (0.0000, 0.0000, 0.4013), Tl at (0.5000, 0.5000, 0.1003), Tl at (0.5000, 0.5000, 0.3010) and In at (0.5000, 0.5000, 0.5000).

Density functional theory data (PBE-GGA) for Ti9TlIn2 after structural relaxation.

The value obtained for the raw total energy is -6.644 eV/atom. For the size of the total moment, the calculation gives 0.000 μB per atom. As for the formation energy: -0.07 eV per atom.

The space group is P4/mmm (No. 123) and the conventional cell measures 4.1657, 4.1657 and 12.5063 Å, with angles of 90.00, 90.00 and 90.00 degrees. Symmetry generates all atoms from Ti at (0.0000, 0.0000, 0.0000), Ti at (0.0000, 0.0000, 0.3333), Ti at (0.0000, 0.5000, 0.1683), Ti at (0.0000, 0.5000, 0.5000), Tl at (0.5000, 0.5000, 0.0000) and In at (0.5000, 0.5000, 0.3339).

Density functional theory data (PBE-GGA) for GeCl2F after structural relaxation.

The value obtained for the raw total energy is -2.945 eV/atom. For the uncorrected formation energy, the calculation gives -0.399 eV per atom. The distance to the lowest polymorph of the same formula comes out at 736 meV/atom. For the size of the total moment, the calculation gives 0.140 μB per atom.

The space group is I-42d (No. 122) and the conventional cell measures 6.4253, 6.4253 and 12.0529 Å, with angles of 90.00, 90.00 and 90.00 degrees. Symmetry generates all atoms from Ge at (0.0000, 0.0000, 0.0000), Cl at (0.1577, 0.2500, 0.1250) and F at (0.0000, 0.0000, 0.5000).

Density functional theory data (PBE-GGA) for MgScIN2 after structural relaxation.

The value obtained for the raw total energy is -4.878 eV/atom. For the uncorrected formation energy, the calculation gives 0.348 eV per atom. The distance to the lowest polymorph of the same formula comes out at 0 meV/atom. For the size of the total moment, the calculation gives 0.000 μB per atom.

The space group is P4/mmm (No. 123) and the conventional cell measures 4.1568, 4.1568 and 5.8900 Å, with angles of 90.00, 90.00 and 90.00 degrees. Symmetry generates all atoms from Mg at (0.0000, 0.0000, 0.0000), Sc at (0.5000, 0.5000, 0.5000), I at (0.5000, 0.5000, 0.0000) and N at (0.0000, 0.5000, 0.5000).

Copy entry 2 word for word.
Density functional theory data (PBE-GGA) for Ti9TlIn2 after structural relaxation.

The value obtained for the raw total energy is -6.644 eV/atom. For the size of the total moment, the calculation gives 0.000 μB per atom. As for the formation energy: -0.07 eV per atom.

The space group is P4/mmm (No. 123) and the conventional cell measures 4.1657, 4.1657 and 12.5063 Å, with angles of 90.00, 90.00 and 90.00 degrees. Symmetry generates all atoms from Ti at (0.0000, 0.0000, 0.0000), Ti at (0.0000, 0.0000, 0.3333), Ti at (0.0000, 0.5000, 0.1683), Ti at (0.0000, 0.5000, 0.5000), Tl at (0.5000, 0.5000, 0.0000) and In at (0.5000, 0.5000, 0.3339).